Compound: K2CaTe
Source: the Alexandria database
Functional: PBE
Structure: optimized geometry

Values from the calculation:
final energy: -9.83 eV per formula unit

CIF file:
```
data_K2CaTe
_chemical_formula_sum 'K2 Ca1 Te1'
_space_group_name_H-M_alt 'P 1 m 1'
_space_group_IT_number 6
_cell_length_a 5.351
_cell_length_b 4.516
_cell_length_c 8.644
_cell_angle_alpha 90.00
_cell_angle_beta 108.02
_cell_angle_gamma 90.00
loop_
_space_group_symop_operation_xyz
'x,y,z'
'x,-y,z'
loop_
_atom_site_label
_atom_site_type_symbol
_atom_site_fract_x
_atom_site_fract_y
_atom_site_fract_z
K1 K 0.000 0.000 0.000
K2 K 0.338 0.500 0.677
Ca1 Ca 0.652 0.500 0.306
Te1 Te 0.780 0.000 0.563
```